[1]
This record from Alexandria describes a PBEsol-optimized structure of Sr2LaHSe. The functional is SCAN.

Geometry as POSCAR:
```
Sr2LaHSe
1.0
-0.991 1.270 -3.399
5.033 -3.198 -2.663
-3.789 -5.250 -0.857
La Sr H Se
1 2 1 1
Direct
0.500 0.500 0.500 La
0.000 0.500 0.000 Sr
0.000 0.000 0.500 Sr
0.500 0.000 0.000 H
0.000 0.000 0.000 Se
```

Properties
The total energy comes out at -1.6344 Ry/atom. As for the space-group type: No. 123.


[2]
This record from Alexandria describes a PBEsol-optimized structure of LaSi2H2. The functional is SCAN.

Geometry as POSCAR:
```
LaSi2H2
1.0
-2.010 -3.606 0.650
2.872 -1.091 2.833
-2.636 4.102 1.169
Si La H
2 1 2
Direct
0.637 0.637 0.275 Si
0.363 0.363 0.725 Si
0.000 0.000 0.000 La
0.750 0.250 0.500 H
0.250 0.750 0.500 H
```

Properties
The total energy comes out at -1.0129 Ry/atom. As for the space-group type: No. 139.